(1)
Tm3PuNi8 | PBE-GGA | relaxed

Cell: 5.0317 5.0317 24.6232 Å, 90.00 90.00 120.00°
Space group R3m (No. 160, hexagonal axes)
One atom of each set of equivalent atoms:
Tm1 0.0000 0.0000 0.0000 x3
Tm2 0.0000 0.0000 0.1257 x3
Tm3 0.0000 0.0000 0.6232 x3
Pu1 0.0000 0.0000 0.4987 x3
Ni1 0.0000 0.0000 0.3118 x3
Ni2 0.0000 0.0000 0.8119 x3
Ni3 0.0018 0.5009 0.5625 x9
Ni4 0.1674 0.3349 0.3944 x9

- Formation energy: -495 kJ/mol of formula units
- Energy: -0.2423 hartree per atom


(2)
PuGePt | PBE-GGA | relaxed

Cell: 4.418 14.215 7.651 Å, 90.00 90.00 90.00°
Space group Pmmn (No. 59, origin choice 2)
One atom of each set of equivalent atoms:
Pu1 0.250 0.003 0.206 x4
Pu2 0.250 0.250 0.294 x2
Pu3 0.250 0.750 0.302 x2
Ge1 0.250 0.101 0.588 x4
Ge2 0.250 0.654 0.914 x4
Pt1 0.250 0.143 0.916 x4
Pt2 0.250 0.599 0.585 x4

- Formation energy: -230 kJ/mol of formula units
- Energy: -0.3353 hartree per atom


(3)
Te2RhW | PBE-GGA | relaxed

Cell: 3.374 3.374 6.641 Å, 90.00 90.00 90.00°
Space group P4/mmm (No. 123)
One atom of each set of equivalent atoms:
Te1 0.000 0.000 0.246 x2
Rh1 0.500 0.500 0.500 x1
W1 0.500 0.500 0.000 x1

- Formation energy from raw total energies: 34.4 kJ per mole of atoms
- Energy: -0.2312 hartree per atom
- E above lowest polymorph: 0.90 eV/f.u.


(4)
PmSmY5Th2 | PBE-GGA | relaxed

Cell: 8.900 8.900 15.348 Å, 90.00 90.00 90.00°
Space group I4/mcm (No. 140)
One atom of each set of equivalent atoms:
Pm1 0.000 0.000 0.250 x4
Sm1 0.000 0.500 0.250 x4
Y1 0.000 0.000 0.000 x4
Y2 0.207 0.293 0.137 x16
Th1 0.118 0.382 0.500 x8

- Formation energy: 275 kJ/mol of formula units
- Energy: -0.2196 hartree per atom


(5)
SrScIn | PBE-GGA | relaxed

Cell: 5.3126 5.3126 7.3635 Å, 90.00 90.00 120.00°
Space group P-3m1 (No. 164)
One atom of each set of equivalent atoms:
Sr1 0.0000 0.0000 0.0000 x1
Sr2 0.0000 0.0000 0.5000 x1
Sc1 0.3333 0.6667 0.2494 x2
In1 0.3333 0.6667 0.7499 x2

- Formation energy: -59 kJ/mol of formula units
- Energy: -0.1392 hartree per atom
- E above lowest polymorph: 0.33 eV/f.u.


(6)
Al2PPt | PBE-GGA | relaxed

Cell: 2.878 2.878 7.235 Å, 90.00 90.00 90.00°
Space group P4/mmm (No. 123)
One atom of each set of equivalent atoms:
Al1 0.000 0.000 0.245 x2
P1 0.500 0.500 0.500 x1
Pt1 0.500 0.500 0.000 x1

- Formation energy: -127 kJ/mol of formula units
- Energy: -0.1861 hartree per atom


(7)
ErPuSn2 | PBE-GGA | relaxed

Cell: 4.841 4.841 4.454 Å, 90.00 90.00 90.00°
Space group P4/mmm (No. 123)
One atom of each set of equivalent atoms:
Er1 0.000 0.000 0.000 x1
Pu1 0.500 0.500 0.000 x1
Sn1 0.000 0.500 0.500 x2

- Formation energy: -181 kJ/mol of formula units
- Energy: -0.2644 hartree per atom


(8)
Rb3BiIr | PBE-GGA | relaxed

Cell: 6.332 6.332 6.332 Å, 90.00 90.00 90.00°
Space group Pm-3m (No. 221)
One atom of each set of equivalent atoms:
Rb1 0.000 0.000 0.500 x3
Bi1 0.500 0.500 0.500 x1
Ir1 0.000 0.000 0.000 x1

- Formation energy: 351 kJ/mol of formula units
- Energy: -0.0883 hartree per atom
- E above lowest polymorph: 0.00 eV/f.u.


(9)
Na3Ge2 | PBE-GGA | relaxed

Cell: 10.893 17.840 5.099 Å, 90.00 90.00 90.00°
Space group Fdd2 (No. 43)
One atom of each set of equivalent atoms:
Na1 0.000 0.000 0.000 x8
Na2 0.035 0.105 0.503 x16
Ge1 0.011 0.227 0.952 x16

- Formation energy: 10 kJ/mol of formula units
- Energy: -0.0962 hartree per atom
- E above lowest polymorph: 0.43 eV/f.u.


(10)
Ti5Nb2Co2Rh | PBE-GGA | relaxed

Cell: 10.228 10.228 3.015 Å, 90.00 90.00 90.00°
Space group P4/mbm (No. 127)
One atom of each set of equivalent atoms:
Ti1 0.000 0.500 0.000 x2
Ti2 0.059 0.205 0.000 x8
Nb1 0.174 0.674 0.500 x4
Co1 0.130 0.370 0.500 x4
Rh1 0.000 0.000 0.500 x2

- Formation energy: -275 kJ/mol of formula units
- Energy: -0.3088 hartree per atom